# NbTlCuAu PBE-GGA relaxed
data_NbTlCuAu
_space_group_name_H-M_alt 'F -4 3 m'
_space_group_IT_number 216
_space_group_name_Hall 'F -4 2 3'
_cell_length_a 6.619
_cell_length_b 6.619
_cell_length_c 6.619
_cell_angle_alpha 90.00
_cell_angle_beta 90.00
_cell_angle_gamma 90.00
loop_
_atom_site_label
_atom_site_type_symbol
_atom_site_fract_x
_atom_site_fract_y
_atom_site_fract_z
Nb1 Nb 0.000 0.000 0.000
Tl1 Tl 0.250 0.250 0.250
Cu1 Cu 0.000 0.000 0.500
Au1 Au 0.250 0.250 0.750
# Uncorrected energy: -72.33 eV for the cell shown
# Spin magnetization: 1.10 μB per cell

# Be2CdIr2 PBE-GGA relaxed
data_Be2CdIr2
_space_group_name_H-M_alt 'P 4/m b m'
_space_group_IT_number 127
_space_group_name_Hall '-P 4 2ab'
_cell_length_a 6.592
_cell_length_b 6.592
_cell_length_c 2.917
_cell_angle_alpha 90.00
_cell_angle_beta 90.00
_cell_angle_gamma 90.00
loop_
_atom_site_label
_atom_site_type_symbol
_atom_site_fract_x
_atom_site_fract_y
_atom_site_fract_z
Be1 Be 0.126 0.374 0.000
Cd1 Cd 0.000 0.000 0.000
Ir1 Ir 0.158 0.658 0.500
# Uncorrected energy: -55.01 eV for the cell shown
# Spin magnetization: 0.00 μB per cell

# YLuCoPb PBE-GGA relaxed
data_YLuCoPb
_space_group_name_H-M_alt 'F -4 3 m'
_space_group_IT_number 216
_space_group_name_Hall 'F -4 2 3'
_cell_length_a 7.067
_cell_length_b 7.067
_cell_length_c 7.067
_cell_angle_alpha 90.00
_cell_angle_beta 90.00
_cell_angle_gamma 90.00
loop_
_atom_site_label
_atom_site_type_symbol
_atom_site_fract_x
_atom_site_fract_y
_atom_site_fract_z
Y1 Y 0.000 0.000 0.000
Lu1 Lu 0.250 0.250 0.750
Co1 Co 0.000 0.000 0.500
Pb1 Pb 0.250 0.250 0.250
# Uncorrected energy: -84.87 eV for the cell shown
# Spin magnetization: 3.83 μB per cell

# Tm4Lu3Ni2Te2 PBE-GGA relaxed
data_Tm4Lu3Ni2Te2
_space_group_name_H-M_alt 'I m m 2'
_space_group_IT_number 44
_space_group_name_Hall 'I 2 -2'
_cell_length_a 3.807
_cell_length_b 15.294
_cell_length_c 9.429
_cell_angle_alpha 90.00
_cell_angle_beta 90.00
_cell_angle_gamma 90.00
loop_
_atom_site_label
_atom_site_type_symbol
_atom_site_fract_x
_atom_site_fract_y
_atom_site_fract_z
Tm1 Tm 0.000 0.135 0.000
Tm2 Tm 0.000 0.354 0.853
Lu1 Lu 0.000 0.000 0.582
Lu2 Lu 0.000 0.315 0.205
Ni1 Ni 0.000 0.236 0.513
Te1 Te 0.000 0.000 0.243
Te2 Te 0.000 0.500 0.348
# Uncorrected energy: -112.68 eV for the cell shown
# Spin magnetization: 0.01 μB per cell

# ZrOF2 PBE-GGA relaxed
data_ZrOF2
_space_group_name_H-M_alt 'P c a 21'
_space_group_IT_number 29
_space_group_name_Hall 'P 2c -2ac'
_cell_length_a 5.224
_cell_length_b 7.150
_cell_length_c 4.980
_cell_angle_alpha 90.00
_cell_angle_beta 90.00
_cell_angle_gamma 90.00
loop_
_atom_site_label
_atom_site_type_symbol
_atom_site_fract_x
_atom_site_fract_y
_atom_site_fract_z
Zr1 Zr 0.022 0.190 0.000
O1 O 0.151 0.038 0.336
F1 F 0.174 0.349 0.686
F2 F 0.195 0.689 0.813
# Uncorrected energy: -124.52 eV for the cell shown
# Spin magnetization: 0.00 μB per cell

# PaTl2I6 PBE-GGA relaxed
data_PaTl2I6
_space_group_name_H-M_alt 'P 42/m n m'
_space_group_IT_number 136
_space_group_name_Hall '-P 4n 2n'
_cell_length_a 7.991
_cell_length_b 7.991
_cell_length_c 14.789
_cell_angle_alpha 90.00
_cell_angle_beta 90.00
_cell_angle_gamma 90.00
loop_
_atom_site_label
_atom_site_type_symbol
_atom_site_fract_x
_atom_site_fract_y
_atom_site_fract_z
Pa1 Pa 0.000 0.000 0.000
Tl1 Tl 0.000 0.000 0.333
I1 I 0.188 0.188 0.148
I2 I 0.231 0.231 0.500
# Uncorrected energy: -62.06 eV for the cell shown
# Spin magnetization: 2.05 μB per cell